PBE+U BaCrMo2O8, optimized geometry; total moment = 0.333 μB/atom; raw total energy = -7.125 eV per atom
1.0
-1.688 3.030 3.991
-5.095 -0.084 1.411
-0.822 -4.626 6.666
Ba Cr Mo O
1 1 2 8
Cartesian
-3.803 -0.840 6.034
0.000 0.000 0.000
-1.947 -0.243 2.863
-5.659 -1.437 9.204
-1.605 -1.574 4.019
-2.529 1.122 3.918
-6.000 -0.105 8.049
-4.908 2.101 5.749
-2.697 -3.780 6.319
-5.440 -0.016 3.467
-2.165 -1.663 8.601
-5.076 -2.801 8.150